Record 1
The following is a PBE calculation of CuAs2Ir after structural relaxation, from Alexandria via LeMat-Bulk.

The structure in extended XYZ format:
```
8
Lattice="-2.742 2.742 5.580 2.742 -2.742 5.580 2.742 2.742 -5.580" Properties=species:S:1:pos:R:3 pbc="T T T"
Cu 0.000 0.000 0.000
Cu 0.000 2.742 2.790
As 1.371 -1.350 4.185
As 1.393 1.371 1.395
As 1.371 4.092 -1.395
As 1.350 1.371 6.975
Ir 2.742 0.000 2.790
Ir 0.000 0.000 5.580
```

Values from the calculation:
energy relative to the lowest polymorph listed for this composition = 0.051 eV per atom
V = 20.98 Å³/atom
uncorrected energy = -5.4615 eV/atom
DOS at the Fermi energy = 3.43 states/eV per cell
magnetic moment = 0.0 μB per formula unit
space group = I-42d

---

Record 2
The following is a PBE calculation of CeNi5Au7 after structural relaxation, from Alexandria via LeMat-Bulk.

The structure in extended XYZ format:
```
13
Lattice="-2.606 4.488 4.519 2.606 -4.488 4.519 2.606 4.488 -4.519" Properties=species:S:1:pos:R:3 pbc="T T T"
Ce 0.000 0.000 0.000
Ni 2.606 0.000 2.000
Ni 1.304 2.180 2.179
Ni 3.909 2.180 2.179
Ni -1.302 2.309 6.698
Ni 1.302 2.309 6.698
Au 2.606 1.831 -0.031
Au 2.606 -1.427 4.385
Au 0.000 0.000 2.981
Au 2.606 1.427 4.385
Au 0.000 0.000 5.922
Au 0.000 4.488 2.396
Au 0.000 2.657 4.488
```

Values from the calculation:
V = 16.27 Å³/atom
uncorrected energy = -4.6106 eV/atom
DOS at the Fermi energy = 16.02 states/eV per cell
magnetic moment = 0.0 μB per formula unit
space group = Imm2

---

Record 3
The following is a PBE calculation of ThCoSn after structural relaxation, from Alexandria via LeMat-Bulk.

The structure in extended XYZ format:
```
9
Lattice="7.355 0.000 0.000 -3.678 6.370 0.000 0.000 0.000 4.077" Properties=species:S:1:pos:R:3 pbc="T T T"
Th -2.155 3.732 0.000
Th 1.523 2.638 0.000
Th 4.309 0.000 0.000
Co 0.000 0.000 0.000
Co 0.000 4.247 2.039
Co 3.678 2.123 2.039
Sn -0.914 1.583 2.039
Sn 1.828 0.000 2.039
Sn 2.763 4.787 2.039
```

Values from the calculation:
V = 21.23 Å³/atom
uncorrected energy = -6.7101 eV/atom
DOS at the Fermi energy = 2.58 states/eV per cell
magnetic moment = 0.0 μB per formula unit
space group = P-62m

---

Record 4
The following is a PBE calculation of PmRe2H7 after structural relaxation, from Alexandria via LeMat-Bulk.

The structure in extended XYZ format:
```
10
Lattice="2.670 -4.693 0.000 2.670 4.693 0.000 0.000 0.000 3.343" Properties=species:S:1:pos:R:3 pbc="T T T"
Pm 0.000 0.000 0.000
Re 2.670 1.775 1.672
Re 2.670 -1.775 1.672
H 0.939 1.335 1.672
H 0.939 -1.335 1.672
H 2.670 1.132 0.000
H 2.670 0.000 1.672
H 2.670 -1.132 0.000
H 4.402 1.335 1.672
H 4.402 -1.335 1.672
```

Values from the calculation:
V = 8.38 Å³/atom
uncorrected energy = -5.2716 eV/atom
DOS at the Fermi energy = 4.43 states/eV per cell
magnetic moment = 0.0 μB per formula unit
space group = Cmmm

---

Record 5
The following is a PBE calculation of Mn2InIr after structural relaxation, from Alexandria via LeMat-Bulk.

The structure in extended XYZ format:
```
4
Lattice="3.103 0.000 0.000 0.000 3.103 0.000 0.000 0.000 6.375" Properties=species:S:1:pos:R:3 pbc="T T T"
Mn 0.000 0.000 0.000
Mn 1.552 1.552 1.252
In 0.000 0.000 3.078
Ir 1.552 1.552 4.904
```

Values from the calculation:
V = 15.35 Å³/atom
uncorrected energy = -7.4449 eV/atom
DOS at the Fermi energy = 4.09 states/eV per cell
magnetic moment = 1.0 μB per formula unit
space group = P4mm

---

Record 6
The following is a PBE calculation of Rb2Np3AlO12 after structural relaxation, from Alexandria via LeMat-Bulk.

The structure in extended XYZ format:
```
18
Lattice="3.915 2.261 5.779 -3.915 2.261 5.779 0.000 -4.521 5.779" Properties=species:S:1:pos:R:3 pbc="T T T"
Rb 0.000 0.000 2.218
Rb 0.000 0.000 15.117
Np -1.958 -1.130 5.779
Np -1.958 1.130 11.557
Np 0.000 2.261 5.779
Al 0.000 0.000 8.668
O 0.000 -1.754 5.257
O -1.519 0.877 5.257
O -1.374 -0.793 7.593
O -1.519 -0.877 12.079
O 0.000 -1.587 9.743
O -1.374 0.793 9.743
O 1.374 -0.793 7.593
O 0.000 1.587 7.593
O 1.519 0.877 5.257
O 1.374 0.793 9.743
O 1.519 -0.877 12.079
O 0.000 1.754 12.079
```

Values from the calculation:
V = 17.05 Å³/atom
uncorrected energy = -8.4154 eV/atom
energy relative to the elements, uncorrected = -47.5 eV per formula unit
DOS at the Fermi energy = 11.07 states/eV per cell
magnetic moment = 2.0 μB per formula unit
space group = R-3m

---

Record 7
The following is a PBE calculation of CaSn3Ir3 after structural relaxation, from Alexandria via LeMat-Bulk.

The structure in extended XYZ format:
```
14
Lattice="7.275 0.000 0.000 0.000 7.275 0.000 0.000 0.000 7.275" Properties=species:S:1:pos:R:3 pbc="T T T"
Ca 0.000 0.000 0.000
Ca 3.637 3.637 3.637
Sn 0.000 1.819 3.637
Sn 0.000 5.456 3.637
Sn 1.819 3.637 0.000
Sn 3.637 0.000 1.819
Sn 3.637 0.000 5.456
Sn 5.456 3.637 0.000
Ir 0.000 3.637 1.819
Ir 0.000 3.637 5.456
Ir 1.819 0.000 3.637
Ir 3.637 1.819 0.000
Ir 3.637 5.456 0.000
Ir 5.456 0.000 3.637
```

Values from the calculation:
V = 27.50 Å³/atom
uncorrected energy = -5.6664 eV/atom
DOS at the Fermi energy = 11.12 states/eV per cell
magnetic moment = 0.0 μB per formula unit
space group = Pm-3n

---

Record 8
The following is a PBE calculation of TbTm12Sc5 after structural relaxation, from Alexandria via LeMat-Bulk.

The structure in extended XYZ format:
```
18
Lattice="2.988 -5.175 0.000 2.988 5.175 0.000 -1.994 0.000 16.607" Properties=species:S:1:pos:R:3 pbc="T T T"
Tb 0.000 0.000 0.000
Tm 1.986 3.440 2.779
Tm 0.998 1.724 5.623
Tm -0.003 0.000 10.984
Tm 1.996 3.440 13.829
Tm 2.003 0.000 2.778
Tm 0.998 -1.724 5.623
Tm 2.984 1.724 10.984
Tm 1.979 0.000 13.829
Tm 1.986 -3.440 2.779
Tm 3.985 0.000 5.623
Tm 2.984 -1.724 10.984
Tm 1.996 -3.440 13.829
Sc 1.991 3.449 8.304
Sc 2.988 1.725 0.000
Sc 1.991 0.000 8.304
Sc 2.988 -1.725 0.000
Sc 1.991 -3.449 8.304
```

Values from the calculation:
V = 28.53 Å³/atom
uncorrected energy = -4.9635 eV/atom
DOS at the Fermi energy = 26.73 states/eV per cell
magnetic moment = 0.0 μB per formula unit
space group = C2/m

---

Record 9
The following is a PBE calculation of Si2Ag6O7 after structural relaxation, from Alexandria via LeMat-Bulk.

The structure in extended XYZ format:
```
45
Lattice="6.501 -4.958 0.000 6.501 4.958 0.000 -2.995 0.000 10.418" Properties=species:S:1:pos:R:3 pbc="T T T"
Si 0.970 0.000 1.321
Si 0.755 0.000 6.393
Si 4.081 0.000 1.301
Si 5.926 0.000 9.117
Si 9.252 0.000 4.025
Si 9.037 0.000 9.097
Ag -0.173 1.784 9.005
Ag 2.459 1.722 3.880
Ag 4.447 3.463 6.850
Ag 5.560 3.463 3.568
Ag 2.882 1.410 8.957
Ag -0.173 -1.784 9.005
Ag 7.124 1.410 1.461
Ag 2.459 -1.722 3.880
Ag 4.083 0.000 6.614
Ag 5.924 0.000 3.804
Ag 7.548 1.722 6.538
Ag 2.882 -1.410 8.957
Ag 10.180 1.784 1.413
Ag 7.124 -1.410 1.461
Ag 4.447 -3.463 6.850
Ag 5.560 -3.463 3.568
Ag 7.548 -1.722 6.538
Ag 10.180 -1.784 1.413
O 0.000 0.000 0.000
O 3.573 3.601 4.515
O 2.738 3.608 8.193
O 2.511 0.000 0.705
O 7.269 3.608 2.225
O 4.794 1.374 0.725
O 0.894 0.000 8.069
O 6.433 3.601 5.902
O 2.238 0.000 5.656
O 4.011 0.000 2.949
O 5.213 1.374 9.693
O 4.794 -1.374 0.725
O 5.996 0.000 7.469
O 7.769 0.000 4.762
O 3.573 -3.601 4.515
O 9.113 0.000 2.349
O 5.213 -1.374 9.693
O 2.738 -3.608 8.193
O 7.496 0.000 9.713
O 7.269 -3.608 2.225
O 6.433 -3.601 5.902
```

Values from the calculation:
energy relative to the lowest polymorph listed for this composition = 0.000 eV per atom
V = 14.92 Å³/atom
uncorrected energy = -5.2997 eV/atom
energy relative to the elements, uncorrected = -16.8 eV per formula unit
DOS at the Fermi energy = 1.86 states/eV per cell
magnetic moment = 0.0 μB per formula unit
space group = C2/m

---

Record 10
The following is a PBE calculation of Cs2ErSnBr6 after structural relaxation, from Alexandria via LeMat-Bulk.

The structure in extended XYZ format:
```
20
Lattice="7.871 0.000 0.000 0.000 11.434 0.000 0.000 0.000 9.386" Properties=species:S:1:pos:R:3 pbc="T T T"
Cs 1.968 0.076 1.963
Cs 1.968 5.641 1.963
Cs 5.904 5.792 7.423
Cs 5.904 11.358 7.423
Er 1.968 8.575 7.238
Er 5.904 2.858 2.149
Sn 1.968 2.858 6.770
Sn 5.904 8.575 2.616
Br 0.037 2.858 4.036
Br 0.037 8.575 9.263
Br 1.968 5.778 7.353
Br 1.968 11.373 7.353
Br 3.898 2.858 4.036
Br 3.898 8.575 9.263
Br 3.973 2.858 0.123
Br 3.973 8.575 5.351
Br 5.904 0.061 2.033
Br 5.904 5.656 2.033
Br 7.834 2.858 0.123
Br 7.834 8.575 5.351
```

Values from the calculation:
V = 42.24 Å³/atom
uncorrected energy = -3.4918 eV/atom
energy relative to the elements, uncorrected = -14.6 eV per formula unit
DOS at the Fermi energy = 1.60 states/eV per cell
magnetic moment = 1.0 μB per formula unit
space group = Pmmn

---

Record 11
The following is a PBE calculation of Pr3Bi3H2 after structural relaxation, from Alexandria via LeMat-Bulk.

The structure in extended XYZ format:
```
8
Lattice="3.658 0.000 0.000 0.007 5.975 0.000 1.687 1.667 9.271" Properties=species:S:1:pos:R:3 pbc="T T T"
Pr 0.000 0.000 0.000
Pr 1.770 4.621 6.120
Pr 3.583 3.021 3.151
Bi 1.763 6.041 2.903
Bi 1.833 2.988 0.000
Bi 3.590 1.601 6.367
H 1.756 3.150 4.378
H 3.597 4.492 4.893
```

Values from the calculation:
V = 25.33 Å³/atom
uncorrected energy = -4.7226 eV/atom
DOS at the Fermi energy = 2.99 states/eV per cell
magnetic moment = 0.0 μB per formula unit
space group = P-1

---

Record 12
The following is a PBE calculation of Sc2Ge2Sb after structural relaxation, from Alexandria via LeMat-Bulk.

The structure in extended XYZ format:
```
10
Lattice="7.511 0.000 0.000 0.000 7.511 0.000 0.000 0.000 3.942" Properties=species:S:1:pos:R:3 pbc="T T T"
Sc 1.308 2.447 0.000
Sc 2.447 6.203 0.000
Sc 5.063 1.308 0.000
Sc 6.203 5.063 0.000
Ge 0.888 4.643 1.971
Ge 2.868 0.888 1.971
Ge 4.643 6.623 1.971
Ge 6.623 2.868 1.971
Sb 0.000 0.000 0.000
Sb 3.755 3.755 0.000
```

Values from the calculation:
energy relative to the lowest polymorph listed for this composition = 0.084 eV per atom
V = 22.24 Å³/atom
uncorrected energy = -5.7167 eV/atom
energy relative to the elements, uncorrected = -2.6 eV per formula unit
DOS at the Fermi energy = 5.70 states/eV per cell
magnetic moment = 0.0 μB per formula unit
space group = P4/mbm